No. 1
First-principles (PBE) data for an optimized crystal structure of MnV2Cl, as listed in Alexandria.

Computed properties:
The value obtained for the polymorph energy (0 for the lowest one) is 0.0000 eV/atom. Its space group is Fm-3m (225). For the total magnetization, the calculation gives 0.2 Bohr magnetons per cell. The calculation puts the energy relative to the elements, uncorrected at 2.3 eV per formula unit.

abc: 4.254 4.254 4.254
angles: 60.00 60.00 60.00
Element x y z (fractional)
V 0.250 0.250 0.250
V 0.750 0.750 0.750
Mn 0.500 0.500 0.500
Cl 0.000 0.000 0.000

No. 2
First-principles (PBE) data for an optimized crystal structure of HgB2PRu, as listed in Alexandria.

Computed properties:
The value obtained for the formation energy is 5.8 eV per formula unit. Its space group is P4/mmm (123). For the total magnetization, the calculation gives 0.8 Bohr magnetons per cell.

abc: 3.966 5.550 3.966
angles: 90.00 90.00 90.00
Element x y z (fractional)
Ru 0.000 0.000 0.000
B 0.000 0.000 0.500
B 0.500 0.000 0.000
Hg 0.000 0.500 0.000
P 0.500 0.500 0.500

No. 3
First-principles (PBE) data for an optimized crystal structure of Ac2La3Se8, as listed in Alexandria.

Computed properties:
The value obtained for the polymorph energy (0 for the lowest one) is 0.0025 eV/atom. Its space group is C2/m (12). For the total magnetization, the calculation gives 0.0 Bohr magnetons per cell. The calculation puts the energy relative to the elements, uncorrected at -23.8 eV per formula unit.

abc: 7.420 8.907 8.773
angles: 120.50 107.37 90.00
Element x y z (fractional)
Ac 0.349 0.268 0.536
Ac 0.651 0.732 0.464
La 0.500 0.000 0.000
La 0.000 0.264 0.000
La 0.000 0.736 0.000
Se 0.939 0.626 0.252
Se 0.061 0.374 0.748
Se 0.931 0.114 0.227
Se 0.069 0.886 0.773
Se 0.588 0.649 0.756
Se 0.588 0.107 0.756
Se 0.412 0.893 0.244
Se 0.412 0.351 0.244

No. 4
First-principles (PBE) data for an optimized crystal structure of NdTh2Rh2, as listed in Alexandria.

Computed properties:
The value obtained for the formation energy is -2.7 eV per formula unit. The value obtained for the polymorph energy (0 for the lowest one) is 0.1450 eV/atom. Its space group is C2/m (12). For the total magnetization, the calculation gives 0.0 Bohr magnetons per cell.

abc: 5.171 5.171 6.155
angles: 114.93 114.94 90.00
Element x y z (fractional)
Nd 0.000 0.000 0.000
Th 0.250 0.750 0.500
Th 0.750 0.250 0.500
Rh 0.636 0.636 0.273
Rh 0.364 0.364 0.727

No. 5
First-principles (PBE) data for an optimized crystal structure of ErSiRh, as listed in Alexandria.

Computed properties:
Its space group is C2/m (12). For the total magnetization, the calculation gives 0.0 Bohr magnetons per cell. The calculation puts the energy relative to the elements, uncorrected at -3.0 eV per formula unit.

abc: 4.124 5.454 5.666
angles: 75.87 68.66 67.78
Element x y z (fractional)
Er 0.939 0.825 0.297
Er 0.061 0.175 0.703
Si 0.654 0.401 0.291
Si 0.346 0.599 0.709
Rh 0.307 0.283 0.103
Rh 0.693 0.717 0.897

No. 6
First-principles (PBE) data for an optimized crystal structure of Si5Pt, as listed in Alexandria.

Computed properties:
The value obtained for the polymorph energy (0 for the lowest one) is 0.0058 eV/atom. Its space group is Cm (8). For the total magnetization, the calculation gives 0.0 Bohr magnetons per cell. The calculation puts the energy relative to the elements, uncorrected at 0.5 eV per formula unit.

abc: 5.673 5.673 7.065
angles: 61.87 61.87 27.88
Element x y z (fractional)
Si 0.588 0.588 0.756
Si 0.288 0.288 0.422
Si 0.419 0.419 0.623
Si 0.109 0.109 0.294
Si 0.792 0.792 0.977
Pt 0.970 0.970 0.095

No. 7
First-principles (PBE) data for an optimized crystal structure of SmIF, as listed in Alexandria.

Computed properties:
Its space group is P3m1 (156). For the total magnetization, the calculation gives 0.0 Bohr magnetons per cell. The calculation puts the energy relative to the elements, uncorrected at -6.5 eV per formula unit.

abc: 4.841 4.140 4.140
angles: 120.00 90.00 90.00
Element x y z (fractional)
I 0.681 0.667 0.333
Sm 0.116 0.000 0.000
F 0.202 0.333 0.667

No. 8
First-principles (PBE) data for an optimized crystal structure of Zr2TlIn, as listed in Alexandria.

Computed properties:
The value obtained for the formation energy is -0.8 eV per formula unit. The value obtained for the polymorph energy (0 for the lowest one) is 0.0000 eV/atom. Its space group is P2/m (10). For the total magnetization, the calculation gives 0.0 Bohr magnetons per cell.

abc: 4.429 3.186 7.144
angles: 63.40 90.00 90.00
Element x y z (fractional)
Tl 0.500 0.750 0.750
Zr 0.000 0.998 0.002
Zr 0.000 0.502 0.498
In 0.500 0.250 0.250

No. 9
First-principles (PBE) data for an optimized crystal structure of TlBSbI2, as listed in Alexandria.

Computed properties:
The value obtained for the polymorph energy (0 for the lowest one) is 0.8266 eV/atom. Its space group is P4/mmm (123). For the total magnetization, the calculation gives 1.8 Bohr magnetons per cell. The calculation puts the energy relative to the elements, uncorrected at 6.6 eV per formula unit.

abc: 6.252 6.252 5.831
angles: 90.00 90.00 90.00
Element x y z (fractional)
I 0.000 0.500 0.000
I 0.500 0.000 0.000
Sb 0.000 0.000 0.500
Tl 0.000 0.000 0.000
B 0.500 0.500 0.500

No. 10
First-principles (PBE) data for an optimized crystal structure of NbCu3Pd4, as listed in Alexandria.

Computed properties:
The value obtained for the formation energy is -1.6 eV per formula unit. Its space group is Pmma (51). For the total magnetization, the calculation gives 0.0 Bohr magnetons per cell.

abc: 4.633 5.604 8.937
angles: 90.00 90.00 90.00
Element x y z (fractional)
Nb 0.000 0.500 0.000
Nb 0.000 0.500 0.500
Pd 0.500 0.754 0.000
Pd 0.500 0.754 0.500
Pd 0.500 0.246 0.000
Pd 0.500 0.246 0.500
Pd 0.126 0.755 0.750
Pd 0.874 0.755 0.250
Pd 0.874 0.245 0.250
Pd 0.126 0.245 0.750
Cu 0.000 0.000 0.000
Cu 0.000 0.000 0.500
Cu 0.632 0.000 0.750
Cu 0.368 0.000 0.250
Cu 0.627 0.500 0.750
Cu 0.373 0.500 0.250

No. 11
First-principles (PBE) data for an optimized crystal structure of HgS2NCl, as listed in Alexandria.

Computed properties:
The value obtained for the polymorph energy (0 for the lowest one) is 0.4641 eV/atom. Its space group is P4/mmm (123). For the total magnetization, the calculation gives 5.0 Bohr magnetons per cell. The calculation puts the energy relative to the elements, uncorrected at 7.8 eV per formula unit.

abc: 5.228 5.228 4.343
angles: 90.00 90.00 90.00
Element x y z (fractional)
S 0.000 0.500 0.000
S 0.500 0.000 0.000
N 0.000 0.000 0.500
Hg 0.000 0.000 0.000
Cl 0.500 0.500 0.500

No. 12
First-principles (PBE) data for an optimized crystal structure of Zr2Zn2Se, as listed in Alexandria.

Computed properties:
Its space group is P4/mbm (127). For the total magnetization, the calculation gives 0.0 Bohr magnetons per cell. The calculation puts the energy relative to the elements, uncorrected at -2.4 eV per formula unit.

abc: 6.972 6.972 4.234
angles: 90.00 90.00 90.00
Element x y z (fractional)
Zn 0.134 0.634 0.500
Zn 0.634 0.866 0.500
Zn 0.866 0.366 0.500
Zn 0.366 0.134 0.500
Se 0.000 0.000 0.000
Se 0.500 0.500 0.000
Zr 0.338 0.838 0.000
Zr 0.838 0.662 0.000
Zr 0.662 0.162 0.000
Zr 0.162 0.338 0.000

No. 13
First-principles (PBE) data for an optimized crystal structure of ScTl2RuF, as listed in Alexandria.

Computed properties:
Its space group is P4/mmm (123). For the total magnetization, the calculation gives 0.9 Bohr magnetons per cell. The calculation puts the energy relative to the elements, uncorrected at 0.0 eV per formula unit.

abc: 5.414 3.929 5.414
angles: 90.00 90.00 90.00
Element x y z (fractional)
Sc 0.500 0.500 0.500
Ru 0.000 0.000 0.000
Tl 0.000 0.000 0.500
Tl 0.500 0.000 0.000
F 0.000 0.500 0.000

No. 14
First-principles (PBE) data for an optimized crystal structure of BaSm2Os, as listed in Alexandria.

Computed properties:
The value obtained for the formation energy is 0.7 eV per formula unit. The value obtained for the polymorph energy (0 for the lowest one) is 0.1587 eV/atom. Its space group is R-3m (166). For the total magnetization, the calculation gives 0.0 Bohr magnetons per cell.

abc: 4.102 4.102 11.150
angles: 79.40 79.40 60.00
Element x y z (fractional)
Os 0.500 0.500 0.500
Ba 0.000 0.000 0.000
Sm 0.121 0.121 0.637
Sm 0.879 0.879 0.363

No. 15
First-principles (PBE) data for an optimized crystal structure of NbIn3Bi, as listed in Alexandria.

Computed properties:
The value obtained for the formation energy is 3.3 eV per formula unit. The value obtained for the polymorph energy (0 for the lowest one) is 0.0000 eV/atom. Its space group is Pm-3m (221). For the total magnetization, the calculation gives 0.0 Bohr magnetons per cell.

abc: 5.438 5.438 5.438
angles: 90.00 90.00 90.00
Element x y z (fractional)
Nb 0.000 0.000 0.000
Bi 0.500 0.500 0.500
In 0.000 0.500 0.000
In 0.000 0.000 0.500
In 0.500 0.000 0.000

No. 16
First-principles (PBE) data for an optimized crystal structure of Y5Pu3H12, as listed in Alexandria.

Computed properties:
Its space group is Ia-3d (230). For the total magnetization, the calculation gives 71.8 Bohr magnetons per cell. As for the energy: -6.15 eV/atom.

abc: 11.312 11.312 11.312
angles: 109.47 109.47 109.47
Element x y z (fractional)
Pu 0.750 0.375 0.125
Pu 0.875 0.750 0.125
Pu 0.375 0.750 0.625
Pu 0.250 0.125 0.375
Pu 0.875 0.125 0.250
Pu 0.375 0.625 0.250
Pu 0.625 0.375 0.750
Pu 0.125 0.875 0.750
Pu 0.750 0.875 0.625
Pu 0.625 0.250 0.375
Pu 0.125 0.250 0.875
Pu 0.250 0.625 0.875
Y 0.125 0.375 0.250
Y 0.000 0.500 0.000
Y 0.000 0.000 0.000
Y 0.375 0.250 0.125
Y 0.500 0.000 0.500
Y 0.500 0.500 0.000
Y 0.125 0.750 0.375
Y 0.750 0.125 0.875
Y 0.750 0.625 0.375
Y 0.375 0.125 0.750
Y 0.625 0.875 0.250
Y 0.500 0.500 0.500
Y 0.500 0.000 0.000
Y 0.000 0.000 0.500
Y 0.250 0.375 0.625
Y 0.250 0.875 0.125
Y 0.000 0.500 0.500
Y 0.875 0.250 0.625
Y 0.625 0.750 0.875
Y 0.875 0.625 0.750
H 0.726 0.148 0.065
H 0.340 0.565 0.417
H 0.935 0.352 0.274
H 0.565 0.226 0.148
H 0.578 0.726 0.660
H 0.935 0.583 0.160
H 0.340 0.774 0.422
H 0.083 0.922 0.148
H 0.583 0.935 0.660
H 0.726 0.578 0.160
H 0.774 0.435 0.352
H 0.840 0.917 0.065
H 0.148 0.726 0.565
H 0.352 0.417 0.078
H 0.078 0.917 0.352
H 0.422 0.148 0.583
H 0.078 0.160 0.226
H 0.435 0.660 0.083
H 0.840 0.922 0.274
H 0.148 0.422 0.083
H 0.352 0.935 0.774
H 0.583 0.648 0.422
H 0.917 0.840 0.565
H 0.774 0.340 0.922
H 0.417 0.352 0.578
H 0.083 0.160 0.435
H 0.226 0.660 0.078
H 0.160 0.078 0.726
H 0.648 0.065 0.226
H 0.852 0.578 0.917
H 0.565 0.340 0.917
H 0.578 0.852 0.417
H 0.922 0.840 0.774
H 0.922 0.083 0.648
H 0.852 0.274 0.435
H 0.160 0.083 0.935
H 0.648 0.583 0.922
H 0.417 0.065 0.340
H 0.274 0.422 0.840
H 0.226 0.565 0.648
H 0.917 0.078 0.852
H 0.660 0.226 0.578
H 0.435 0.774 0.852
H 0.065 0.417 0.840
H 0.422 0.274 0.340
H 0.065 0.648 0.726
H 0.660 0.435 0.583
H 0.274 0.852 0.935

No. 17
First-principles (PBE) data for an optimized crystal structure of RbRe2GeBi, as listed in Alexandria.

Computed properties:
The value obtained for the formation energy is 11.0 eV per formula unit. Its space group is P4/mmm (123). For the total magnetization, the calculation gives 4.1 Bohr magnetons per cell.

abc: 5.238 5.770 5.238
angles: 90.00 90.00 90.00
Element x y z (fractional)
Re 0.000 0.000 0.500
Re 0.500 0.000 0.000
Ge 0.000 0.500 0.000
Bi 0.000 0.000 0.000
Rb 0.500 0.500 0.500

No. 18
First-principles (PBE) data for an optimized crystal structure of ScSiAs2Se, as listed in Alexandria.

Computed properties:
The value obtained for the polymorph energy (0 for the lowest one) is 0.3021 eV/atom. Its space group is P4/mmm (123). For the total magnetization, the calculation gives 0.0 Bohr magnetons per cell. The calculation puts the energy relative to the elements, uncorrected at 2.0 eV per formula unit.

abc: 5.091 5.091 5.081
angles: 90.00 90.00 90.00
Element x y z (fractional)
Sc 0.000 0.000 0.000
As 0.000 0.500 0.000
As 0.500 0.000 0.000
Si 0.500 0.500 0.500
Se 0.000 0.000 0.500

No. 19
First-principles (PBE) data for an optimized crystal structure of La6GaSb2, as listed in Alexandria.

Computed properties:
Its space group is P4_2/mnm (136). For the total magnetization, the calculation gives 8.8 Bohr magnetons per cell. The calculation puts the energy relative to the elements, uncorrected at -3.6 eV per formula unit.

abc: 7.430 7.430 13.706
angles: 90.00 90.00 90.00
Element x y z (fractional)
La 0.301 0.301 0.338
La 0.699 0.699 0.338
La 0.199 0.801 0.838
La 0.801 0.199 0.838
La 0.199 0.801 0.162
La 0.801 0.199 0.162
La 0.301 0.301 0.662
La 0.699 0.699 0.662
La 0.285 0.285 0.000
La 0.715 0.715 0.000
La 0.215 0.785 0.500
La 0.785 0.215 0.500
Ga 0.000 0.000 0.000
Ga 0.500 0.500 0.500
Sb 0.000 0.000 0.337
Sb 0.500 0.500 0.837
Sb 0.500 0.500 0.163
Sb 0.000 0.000 0.663

No. 20
First-principles (PBE) data for an optimized crystal structure of SiHg2Os, as listed in Alexandria.

Computed properties:
Its space group is R3m (160). For the total magnetization, the calculation gives 0.0 Bohr magnetons per cell. The calculation puts the energy relative to the elements, uncorrected at 1.3 eV per formula unit.

abc: 9.480 9.480 9.480
angles: 18.54 18.54 18.54
Element x y z (fractional)
Hg 0.008 0.008 0.008
Hg 0.241 0.241 0.241
Os 0.487 0.487 0.487
Si 0.763 0.763 0.763